K2TmCrO4: relaxed, PBE+U.

As for the density of states at the Fermi level: 0.00 states/eV per cell. The theoretical density comes out at 5.29 g/cm3. The calculation puts the raw total energy at -6.506 eV/atom.

The space group is P2/m (No. 10) and the conventional cell measures 5.629, 3.289 and 6.446 Å, with angles of 90.00, 107.24 and 90.00 degrees. Symmetry generates all atoms from K at (0.000, 0.000, 0.000), K at (0.500, 0.500, 0.000), Tm at (0.000, 0.500, 0.500), Cr at (0.500, 0.000, 0.500), O at (0.243, 0.000, 0.681) and O at (0.291, 0.500, 0.324).